The following is a PBE with a Hubbard U calculation of Rb3Er3VO8 after structural relaxation, from the Alexandria database.

Unit cell a=7.6384 b=7.6384 c=7.6384 alpha=52.06 beta=52.06 gamma=52.06
Last column: nearest neighbours and their distance in Å.
Fractional coordinates of all 15 atoms:
1 Rb 0.0000 0.5000 0.5000  6 O 2.90-2.91
2 Rb 0.5000 0.0000 0.5000  6 O 2.90-2.91
3 Rb 0.5000 0.5000 0.0000  6 O 2.90-2.91
4 Er 0.0000 0.0000 0.5000  6 O 2.24-2.29
5 Er 0.0000 0.5000 0.0000  6 O 2.24-2.29
6 Er 0.5000 0.0000 0.0000  6 O 2.24-2.29
7 V 0.5000 0.5000 0.5000  6 O 2.04
8 O 0.2238 0.2238 0.2238  3 Er 2.24
9 O 0.2518 0.7039 0.7039  1 V 2.04
10 O 0.2961 0.2961 0.7482  1 V 2.04
11 O 0.2961 0.7482 0.2961  1 V 2.04
12 O 0.7039 0.2518 0.7039  1 V 2.04
13 O 0.7039 0.7039 0.2518  1 V 2.04
14 O 0.7482 0.2961 0.2961  1 V 2.04
15 O 0.7762 0.7762 0.7762  3 Er 2.24

Energy, eV/atom: -6.842
Magnetic moment, Bohr magnetons per cell: 1.0